Record 1
ReTe5 after structural relaxation. Source: the Alexandria database, functional GGA-PBE.

a = 6.8246 Å, b = 6.8246 Å, c = 8.9916 Å
α = 66.21°, β = 66.21°, γ = 27.71°
Closest atoms and distances in Å follow each position.
Sites, in units of the cell vectors:
Te: 0.3361 0.3361 0.9891  2 Re 2.78
Te: 0.2550 0.2550 0.3721  5 Te 3.12-3.27
Te: 0.5165 0.5165 0.1640  2 Re 2.73
Te: 0.0063 0.0063 0.6216  1 Re 2.76
Te: 0.6993 0.6993 0.7673  2 Re 2.73
Re: 0.0202 0.0202 0.9192  7 Te 2.73-2.78

Computed properties:
- offset from the most stable computed form (meV per atom) = 0
- E (eV per atom) = -4.548
- crystal system = monoclinic
- space-group type = Cm (8)
- raw formation energy (eV per atom) = 0.14

***

Record 2
Mg2Tl2Bi after structural relaxation. Source: the Alexandria database, functional GGA-PBE.

a = 4.6202 Å, b = 4.6202 Å, c = 7.3448 Å
α = 71.67°, β = 71.67°, γ = 90.00°
Closest atoms and distances in Å follow each position.
Sites, in units of the cell vectors:
Tl: 0.6092 0.6092 0.7817  1 Tl 2.87, 4 Mg 2.96
Tl: 0.3908 0.3908 0.2183  1 Tl 2.87, 4 Mg 2.96
Mg: 0.7500 0.2500 0.5000  4 Tl 2.96, 4 Mg 3.27
Mg: 0.2500 0.7500 0.5000  4 Tl 2.96, 4 Mg 3.27
Bi: 0.0000 0.0000 0.0000  8 Tl 3.57

Computed properties:
- offset from the most stable computed form (meV per atom) = 144
- E (eV per atom) = -2.220
- crystal system = tetragonal
- space-group type = I4/mmm (139)
- formation energy from the elements (eV per formula unit) = 0.70

***

Record 3
Ce5Pu2Al3 after structural relaxation. Source: the Alexandria database, functional GGA-PBE.

a = 9.9100 Å, b = 8.3305 Å, c = 9.1324 Å
α = 117.14°, β = 122.86°, γ = 90.00°
Closest atoms and distances in Å follow each position.
Sites, in units of the cell vectors:
Al: 0.7500 0.0000 0.0000  6 Ce 3.01-3.27, 4 Pu 3.13
Al: 0.6418 0.5679 0.2835  2 Pu 2.90-3.08, 5 Ce 3.02-3.14
Al: 0.2500 0.0000 0.0000  6 Ce 3.01-3.27, 4 Pu 3.13
Al: 0.3582 0.4321 0.7165  2 Pu 2.90-3.08, 5 Ce 3.02-3.14
Al: 0.8582 0.2844 0.7165  2 Pu 2.90-3.08, 5 Ce 3.02-3.14
Al: 0.1418 0.7156 0.2835  2 Pu 2.90-3.08, 5 Ce 3.02-3.14
Ce: 0.0865 0.3054 0.1730  1 Pu 2.56
Ce: 0.5865 0.8676 0.1730  1 Pu 2.56
Ce: 0.7500 0.5000 0.0000  4 Al 3.14, 2 Ce 3.44
Ce: 0.4135 0.1324 0.8270  1 Pu 2.56
Ce: 0.4832 0.2332 0.4665  2 Pu 2.83, 3 Al 3.01-3.02
Ce: 0.9832 0.2332 0.4665  2 Pu 2.83, 3 Al 3.01-3.02
Ce: 0.0168 0.7668 0.5335  2 Pu 2.83, 3 Al 3.01-3.02
Ce: 0.5168 0.7668 0.5335  2 Pu 2.83, 3 Al 3.01-3.02
Ce: 0.9135 0.6946 0.8270  1 Pu 2.56
Ce: 0.2500 0.5000 0.0000  4 Al 3.14, 2 Ce 3.44
Pu: 0.8599 0.9375 0.7198  3 Ce 2.56-2.83
Pu: 0.1401 0.0625 0.2802  3 Ce 2.56-2.83
Pu: 0.3599 0.7823 0.7198  3 Ce 2.56-2.83
Pu: 0.6401 0.2177 0.2802  3 Ce 2.56-2.83

Computed properties:
- E (eV per atom) = -6.930
- crystal system = orthorhombic
- space-group type = Ibam (72)
- formation energy from the elements (eV per formula unit) = 0.26